Record 1
! ScAg2 (PBEsol, optimized geometry); values from VASP
&SYSTEM
  ibrav = 0, nat = 6, ntyp = 2
/
ATOMIC_SPECIES
Sc 44.96 Sc.upf
Ag 107.87 Ag.upf
ATOMIC_POSITIONS crystal
Sc 0.217 0.750 0.435
Sc 0.783 0.250 0.565
Ag 0.110 0.250 0.221
Ag 0.447 0.250 0.894
Ag 0.553 0.750 0.106
Ag 0.890 0.750 0.779
CELL_PARAMETERS angstrom
-1.197 -0.428 -2.876
-0.137 -4.768 0.766
-6.139 0.843 4.149
! E_form (eV/atom): -0.030


Record 2
! BePbO2 (PBEsol, optimized geometry); values from VASP
&SYSTEM
  ibrav = 0, nat = 4, ntyp = 3
/
ATOMIC_SPECIES
Pb 207.20 Pb.upf
O 16.00 O.upf
Be 9.01 Be.upf
ATOMIC_POSITIONS crystal
Pb 0.000 0.000 0.000
O 0.881 0.881 0.357
O 0.119 0.119 0.643
Be 0.500 0.500 0.500
CELL_PARAMETERS angstrom
2.975 0.000 0.000
1.487 2.576 0.000
1.487 0.859 6.079
! Formation energy (no corrections) (eV per formula unit): -4.11


| no. | volume (Å³ per cell) |
| --- | --- |
| 1 | 111 |
| 2 | 47 |